No. 1
## K3Pr2NdO6 (PBE-GGA)

Data for a geometry-optimized K3Pr2NdO6 structure.

a = 6.353 Å, b = 6.353 Å, c = 6.664 Å
α = 99.15°, β = 99.15°, γ = 120.00°
Element x y z (fractional)
K  0.166  0.834  0.500
K  0.834  0.166  0.500
K  0.500  0.500  0.500
Pr  0.333  0.667  0.000
Pr  0.667  0.333  0.000
Nd  0.000  0.000  0.000
O  0.936  0.605  0.808
O  0.733  0.733  0.192
O  0.064  0.395  0.192
O  0.605  0.936  0.808
O  0.267  0.267  0.808
O  0.395  0.064  0.192


No. 2
## K2NdPtO4 (PBE-GGA)

Data for a geometry-optimized K2NdPtO4 structure.

a = 6.373 Å, b = 7.839 Å, c = 12.983 Å
α = 84.27°, β = 75.79°, γ = 66.02°
Site moments in Bohr magnetons follow the coordinates.
Element x y z (fractional)
K  0.200  0.000  0.599  0.00
K  0.800  0.000  0.401  0.00
K  0.550  0.500  0.901  0.00
K  0.950  0.500  0.099  0.00
Nd  0.750  0.500  0.500  0.00
Nd  0.000  0.000  0.000  0.00
Pt  0.250  0.500  0.500  0.47
Pt  0.500  0.000  0.000  0.47
O  0.375  0.802  0.998  0.11
O  0.175  0.198  0.002  0.11
O  0.823  0.802  0.002  0.11
O  0.627  0.198  0.998  0.11
O  0.375  0.698  0.502  0.11
O  0.575  0.302  0.498  0.11
O  0.927  0.698  0.498  0.11
O  0.123  0.302  0.502  0.11


No. 3
## KNdPtO4 (PBE-GGA)

Data for a geometry-optimized KNdPtO4 structure.

a = 6.599 Å, b = 6.860 Å, c = 7.434 Å
α = 122.81°, β = 90.00°, γ = 118.75°
Element x y z (fractional)
K  0.864  0.728  0.114
K  0.136  0.272  0.886
Nd  0.500  0.000  0.500
Nd  0.500  0.000  0.000
Pt  0.500  0.500  0.500
Pt  0.000  0.500  0.500
O  0.752  0.504  0.676
O  0.311  0.060  0.280
O  0.749  0.060  0.280
O  0.752  0.504  0.328
O  0.248  0.496  0.672
O  0.689  0.940  0.720
O  0.251  0.940  0.720
O  0.248  0.496  0.324


No. 4
## KNd2PtO5 (PBE-GGA)

Data for a geometry-optimized KNd2PtO5 structure.

a = 5.909 Å, b = 6.866 Å, c = 6.866 Å
α = 90.00°, β = 90.00°, γ = 90.00°
Site moments in Bohr magnetons follow the coordinates.
Element x y z (fractional)
K  0.000  0.500  0.500  0.00
K  0.000  0.000  0.000  0.00
Nd  0.500  0.677  0.177  -0.01
Nd  0.500  0.177  0.323  -0.01
Nd  0.500  0.823  0.677  -0.01
Nd  0.500  0.323  0.823  -0.01
Pt  0.000  0.000  0.500  0.43
Pt  0.000  0.500  0.000  0.43
O  0.500  0.500  0.500  0.12
O  0.500  0.000  0.000  0.12
O  0.255  0.133  0.633  0.10
O  0.255  0.867  0.367  0.10
O  0.255  0.367  0.133  0.10
O  0.255  0.633  0.867  0.10
O  0.745  0.133  0.633  0.10
O  0.745  0.633  0.867  0.10
O  0.745  0.867  0.367  0.10
O  0.745  0.367  0.133  0.10


No. 5
## KNdPtO3 (PBE-GGA)

Data for a geometry-optimized KNdPtO3 structure.

a = 3.980 Å, b = 6.975 Å, c = 7.712 Å
α = 104.75°, β = 90.00°, γ = 106.57°
Element x y z (fractional)
K  0.358  0.716  0.936
K  0.642  0.284  0.064
Nd  0.650  0.301  0.580
Nd  0.350  0.699  0.420
Pt  0.007  0.014  0.276
Pt  0.993  0.986  0.724
O  0.847  0.693  0.223
O  0.831  0.662  0.633
O  0.507  0.014  0.316
O  0.169  0.338  0.367
O  0.493  0.986  0.684
O  0.153  0.307  0.777


No. 6
## K3Nd3PtO8 (PBE-GGA)

Data for a geometry-optimized K3Nd3PtO8 structure.

a = 7.054 Å, b = 7.054 Å, c = 7.499 Å
α = 118.06°, β = 90.00°, γ = 120.00°
Element x y z (fractional)
K  0.000  0.000  0.000
K  0.000  0.500  0.000
K  0.500  0.500  0.000
Nd  0.500  0.000  0.500
Nd  0.500  0.500  0.500
Nd  0.000  0.500  0.500
Pt  0.000  0.000  0.500
O  0.270  0.540  0.310
O  0.730  0.460  0.690
O  0.791  0.583  0.323
O  0.209  0.417  0.677
O  0.792  0.031  0.323
O  0.208  0.969  0.677
O  0.240  0.031  0.323
O  0.760  0.969  0.677


no.,E_form (uncorrected) (meV per atom)
1,-2586.7
2,-1338.2
3,-1679.4
4,-2250.7
5,-1901.0
6,-2175.3